VASP calculation (GGA-PBE) on a geometry-optimized Nb2Fe2Ru structure.

Lattice parameters (Å, degrees): 6.692 6.692 3.221 90.00 90.00 90.00
Space group P4/mbm (No. 127)
One atom of each set of equivalent atoms:
Nb  0.184  0.316  0.000
Fe  0.119  0.619  0.500
Ru  0.000  0.000  0.500

Density of states at the Fermi level (states/eV per atom): 1.32
Volume (Å³/cell): 144
Formation enthalpy at 0 K (eV/f.u.): 0.053